(1)
The following is a PBE-GGA calculation of a relaxed structure of LiFe2Re, from the Alexandria database.

Computed properties:
E in eV per formula unit: -30.19
Crystal system: orthorhombic

a = 2.9898 Å, b = 4.1159 Å, c = 8.6255 Å
α = 90.00°, β = 90.00°, γ = 90.00°
Space group Cmm2 (No. 35)
Asymmetric unit:
1 Li 0.0000 0.0000 0.0000 x2
2 Fe 0.0000 0.0000 0.5130 x2
3 Fe 0.0000 0.5000 0.7410 x2
4 Re 0.0000 0.5000 0.2693 x2

=====

(2)
The following is a PBE-GGA calculation of a relaxed structure of Li2ZnMo2, from the Alexandria database.

Computed properties:
E in eV per formula unit: -23.67
Crystal system: tetragonal

a = 3.6460 Å, b = 3.6460 Å, c = 11.6409 Å
α = 90.00°, β = 90.00°, γ = 90.00°
Space group I4/mmm (No. 139)
Asymmetric unit:
1 Li 0.0000 0.0000 0.0859 x4
2 Zn 0.0000 0.0000 0.5000 x2
3 Mo 0.0000 0.5000 0.2500 x4

=====

(3)
The following is a PBE-GGA calculation of a relaxed structure of NaPrHg, from the Alexandria database.

Computed properties:
E in eV per formula unit: -6.79
Crystal system: trigonal

a = 5.2800 Å, b = 5.2800 Å, c = 3.4749 Å
α = 90.00°, β = 90.00°, γ = 120.00°
Space group P3m1 (No. 156)
Asymmetric unit:
1 Na 0.0000 0.0000 0.0000 x1
2 Pr 0.6667 0.3333 0.5024 x1
3 Hg 0.3333 0.6667 0.0050 x1

=====

(4)
The following is a PBE-GGA calculation of a relaxed structure of V2Pd7Au, from the Alexandria database.

Computed properties:
E in eV per formula unit: -54.45
Crystal system: orthorhombic

a = 7.1441 Å, b = 12.7677 Å, c = 4.1307 Å
α = 90.00°, β = 90.00°, γ = 90.00°
Space group Cmmm (No. 65)
Asymmetric unit:
1 V 0.0000 0.1931 0.0000 x4
2 Pd 0.0000 0.0000 0.0000 x2
3 Pd 0.0000 0.2852 0.5000 x4
4 Pd 0.1920 0.3827 0.0000 x8
5 Au 0.0000 0.5000 0.5000 x2

=====

Respective DFT formation energy values: 0.273, 0.619, -0.131, 0.342 eV per atom.